(1)
Material: SnPPd5
Method: DFT, PBEsol
State: relaxed

Values from the calculation:
DOS(E_F) in states/eV/f.u.: 2.7
DFT formation energy in meV/atom: -585
Space group: P4/mmm

a b c (Å): 3.923 3.923 6.925
angles (deg): 90.00 90.00 90.00
Fractional coordinates of all 7 atoms:
Sn: 0.500 0.500 0.000
Pd: 0.500 0.000 0.701
Pd: 0.000 0.500 0.299
Pd: 0.000 0.000 0.000
Pd: 0.500 0.000 0.299
Pd: 0.000 0.500 0.701
P: 0.000 0.000 0.500

=====

(2)
Material: ZnCuRh2
Method: DFT, PBEsol
State: relaxed

Values from the calculation:
DOS(E_F) in states/eV/f.u.: 6.0
DFT formation energy in meV/atom: -71
Space group: I-4m2

a b c (Å): 3.731 3.731 4.566
angles (deg): 114.11 114.11 90.00
Fractional coordinates of all 4 atoms:
Rh: 0.750 0.250 0.500
Rh: 0.000 0.000 0.000
Cu: 0.250 0.750 0.500
Zn: 0.500 0.500 0.000

=====

(3)
Material: Nb3Al2C
Method: DFT, PBEsol
State: relaxed

Values from the calculation:
DOS(E_F) in states/eV/f.u.: 1.9
DFT formation energy in meV/atom: -484
Space group: P4_132

a b c (Å): 7.074 7.074 7.074
angles (deg): 90.00 90.00 90.00
Fractional coordinates of all 24 atoms:
Al: 0.320 0.180 0.820
Al: 0.180 0.820 0.320
Al: 0.820 0.320 0.180
Al: 0.070 0.070 0.070
Al: 0.430 0.930 0.570
Al: 0.570 0.430 0.930
Al: 0.680 0.680 0.680
Al: 0.930 0.570 0.430
C: 0.125 0.625 0.875
C: 0.625 0.875 0.125
C: 0.375 0.375 0.375
C: 0.875 0.125 0.625
Nb: 0.705 0.045 0.875
Nb: 0.955 0.375 0.795
Nb: 0.375 0.795 0.955
Nb: 0.875 0.705 0.045
Nb: 0.205 0.455 0.125
Nb: 0.625 0.295 0.545
Nb: 0.295 0.545 0.625
Nb: 0.045 0.875 0.705
Nb: 0.545 0.625 0.295
Nb: 0.125 0.205 0.455
Nb: 0.795 0.955 0.375
Nb: 0.455 0.125 0.205

=====

(4)
Material: LaZr4Zn
Method: DFT, PBEsol
State: relaxed

Values from the calculation:
DOS(E_F) in states/eV/f.u.: 8.1
DFT formation energy in meV/atom: 355
Space group: F-43m

a b c (Å): 5.834 5.834 5.834
angles (deg): 60.00 60.00 60.00
Fractional coordinates of all 6 atoms:
Zr: 0.376 0.871 0.376
Zr: 0.376 0.376 0.871
Zr: 0.376 0.376 0.376
Zr: 0.871 0.376 0.376
Zn: 0.000 0.000 0.000
La: 0.750 0.750 0.750

=====

(5)
Material: La2PPb
Method: DFT, PBEsol
State: relaxed

Values from the calculation:
DOS(E_F) in states/eV/f.u.: 6.4
DFT formation energy in meV/atom: -657
Distance to the lowest polymorph of the same formula in meV per atom: 383
Space group: Fm-3m

a b c (Å): 5.355 5.355 5.355
angles (deg): 60.00 60.00 60.00
Fractional coordinates of all 4 atoms:
La: 0.750 0.750 0.750
La: 0.250 0.250 0.250
P: 0.000 0.000 0.000
Pb: 0.500 0.500 0.500

=====

(6)
Material: SiPAuCl2
Method: DFT, PBEsol
State: relaxed

Values from the calculation:
DOS(E_F) in states/eV/f.u.: 2.2
Space group: P4/mmm
Formation energy from raw total energies in meV per atom: 302

a b c (Å): 4.379 4.379 4.963
angles (deg): 90.00 90.00 90.00
Fractional coordinates of all 5 atoms:
Cl: 0.000 0.500 0.000
Cl: 0.500 0.000 0.000
Au: 0.500 0.500 0.500
Si: 0.000 0.000 0.000
P: 0.000 0.000 0.500

=====

(7)
Material: TmIn2Sn
Method: DFT, PBEsol
State: relaxed

Values from the calculation:
DOS(E_F) in states/eV/f.u.: 1.9
DFT formation energy in meV/atom: -439
Space group: P4/mmm

a b c (Å): 4.430 4.430 4.811
angles (deg): 90.00 90.00 90.00
Fractional coordinates of all 4 atoms:
In: 0.500 0.000 0.500
In: 0.000 0.500 0.500
Sn: 0.500 0.500 0.000
Tm: 0.000 0.000 0.000

=====

(8)
Material: Cs2RbSiF7
Method: DFT, PBEsol
State: relaxed

Values from the calculation:
DOS(E_F) in states/eV/f.u.: 0.0
Space group: Cmmm
Formation energy from raw total energies in meV per atom: -3109

a b c (Å): 5.979 8.124 8.124
angles (deg): 91.17 90.00 90.00
Fractional coordinates of all 22 atoms:
Si: 0.000 0.500 0.500
Si: 0.000 0.000 0.000
F: 0.000 0.350 0.350
F: 0.204 0.603 0.397
F: 0.204 0.397 0.603
F: 0.000 0.853 0.147
F: 0.797 0.894 0.894
F: 0.796 0.603 0.397
F: 0.797 0.106 0.106
F: 0.500 0.000 0.500
F: 0.000 0.147 0.853
F: 0.500 0.500 0.000
F: 0.203 0.894 0.894
F: 0.000 0.650 0.650
F: 0.203 0.106 0.106
F: 0.796 0.397 0.603
Cs: 0.000 0.500 0.000
Cs: 0.000 0.000 0.500
Cs: 0.500 0.194 0.806
Cs: 0.500 0.806 0.194
Rb: 0.500 0.306 0.306
Rb: 0.500 0.694 0.694

=====

(9)
Material: CsRb2Hf
Method: DFT, PBEsol
State: relaxed

Values from the calculation:
DOS(E_F) in states/eV/f.u.: 7.7
DFT formation energy in meV/atom: 1213
Space group: Fm-3m

a b c (Å): 6.722 6.722 6.722
angles (deg): 60.00 60.00 60.00
Site moments in Bohr magnetons follow the coordinates.
Fractional coordinates of all 4 atoms:
Rb: 0.250 0.250 0.250  0.03
Rb: 0.750 0.750 0.750  0.03
Hf: 0.500 0.500 0.500  1.39
Cs: 0.000 0.000 0.000  0.04

=====

(10)
Material: Li7Ni5O12
Method: DFT, PBEsol
State: relaxed

Values from the calculation:
DOS(E_F) in states/eV/f.u.: 8.4
Distance to the lowest polymorph of the same formula in meV per atom: 7
Space group: P-1
Formation energy from raw total energies in meV per atom: -1391

a b c (Å): 5.695 6.300 6.357
angles (deg): 95.94 116.65 103.05
Site moments in Bohr magnetons follow the coordinates.
Fractional coordinates of all 24 atoms:
O: 0.868 0.348 0.561  0.03
O: 0.372 0.351 0.574  0.12
O: 0.609 0.981 0.759  0.00
O: 0.860 0.661 0.886  0.03
O: 0.373 0.681 0.910  0.13
O: 0.391 0.019 0.241  0.00
O: 0.140 0.339 0.114  0.03
O: 0.628 0.649 0.426  0.12
O: 0.627 0.319 0.090  0.13
O: 0.141 0.982 0.759  0.01
O: 0.859 0.018 0.241  0.01
O: 0.132 0.652 0.439  0.03
Li: 0.245 0.673 0.164  0.01
Li: 0.000 0.000 0.000  0.00
Li: 0.755 0.327 0.836  0.01
Li: 0.252 0.003 0.501  0.00
Li: 0.748 0.997 0.499  0.00
Li: 0.243 0.323 0.838  0.01
Li: 0.757 0.677 0.162  0.01
Ni: 0.000 0.668 0.669  0.45
Ni: 0.000 0.332 0.331  0.45
Ni: 0.504 0.668 0.671  0.54
Ni: 0.496 0.332 0.329  0.54
Ni: 0.500 0.000 0.000  0.21

=====

(11)
Material: Y2HfPtAu
Method: DFT, PBEsol
State: relaxed

Values from the calculation:
DOS(E_F) in states/eV/f.u.: 5.4
DFT formation energy in meV/atom: 214
Space group: P4/mmm

a b c (Å): 5.071 5.150 5.150
angles (deg): 90.00 90.00 90.00
Site moments in Bohr magnetons follow the coordinates.
Fractional coordinates of all 5 atoms:
Hf: 0.500 0.500 0.500  0.70
Y: 0.000 0.500 0.000  0.13
Y: 0.000 0.000 0.500  0.13
Au: 0.500 0.000 0.000  0.00
Pt: 0.000 0.000 0.000  0.00

=====

(12)
Material: TlTcCl2
Method: DFT, PBEsol
State: relaxed

Values from the calculation:
DOS(E_F) in states/eV/f.u.: 4.5
Distance to the lowest polymorph of the same formula in meV per atom: 799
Space group: F-43m
Formation energy from raw total energies in meV per atom: 642

a b c (Å): 4.936 4.936 4.936
angles (deg): 60.00 60.00 60.00
Site moments in Bohr magnetons follow the coordinates.
Fractional coordinates of all 4 atoms:
Tc: 0.500 0.500 0.500  3.35
Tl: 0.750 0.750 0.750  0.05
Cl: 0.250 0.250 0.250  0.08
Cl: 0.000 0.000 0.000  0.13

=====

(13)
Material: TeP2W
Method: DFT, PBEsol
State: relaxed

Values from the calculation:
DOS(E_F) in states/eV/f.u.: 2.3
Space group: F-43m
Formation energy from raw total energies in meV per atom: 669

a b c (Å): 4.520 4.520 4.520
angles (deg): 60.00 60.00 60.00
Fractional coordinates of all 4 atoms:
W: 0.750 0.750 0.750
Te: 0.500 0.500 0.500
P: 0.000 0.000 0.000
P: 0.250 0.250 0.250

=====

(14)
Material: Li2NbCo3O8
Method: DFT, PBEsol
State: relaxed

Values from the calculation:
Distance to the lowest polymorph of the same formula in meV per atom: 18
Space group: R-3m
Formation energy from raw total energies in meV per atom: -1651

a b c (Å): 5.773 5.773 5.691
angles (deg): 59.52 59.52 60.00
Fractional coordinates of all 14 atoms:
O: 0.720 0.252 0.776
O: 0.748 0.280 0.224
O: 0.252 0.252 0.776
O: 0.252 0.720 0.776
O: 0.280 0.748 0.224
O: 0.748 0.748 0.224
O: 0.266 0.266 0.202
O: 0.734 0.734 0.798
Nb: 0.500 0.500 0.500
Co: 0.000 0.500 0.000
Co: 0.500 0.000 0.000
Co: 0.500 0.500 0.000
Li: 0.878 0.878 0.366
Li: 0.122 0.122 0.634

=====

(15)
Material: TbGeIr
Method: DFT, PBEsol
State: relaxed

Values from the calculation:
DOS(E_F) in states/eV/f.u.: 1.3
DFT formation energy in meV/atom: -955
Space group: Pnma

a b c (Å): 4.282 6.839 7.513
angles (deg): 90.00 90.00 90.00
Fractional coordinates of all 12 atoms:
Ge: 0.750 0.707 0.609
Ge: 0.250 0.293 0.391
Ge: 0.750 0.207 0.891
Ge: 0.250 0.793 0.109
Tb: 0.250 0.502 0.809
Tb: 0.750 0.998 0.309
Tb: 0.750 0.498 0.191
Tb: 0.250 0.002 0.691
Ir: 0.250 0.660 0.433
Ir: 0.750 0.340 0.567
Ir: 0.750 0.840 0.933
Ir: 0.250 0.160 0.067

=====

(16)
Material: ScCo2Mo
Method: DFT, PBEsol
State: relaxed

Values from the calculation:
DOS(E_F) in states/eV/f.u.: 3.4
DFT formation energy in meV/atom: -72
Space group: Pm

a b c (Å): 2.759 4.279 4.582
angles (deg): 90.00 98.62 90.00
Fractional coordinates of all 4 atoms:
Mo: 0.482 0.000 0.418
Sc: 0.286 0.500 0.835
Co: 0.834 0.000 0.940
Co: 0.899 0.500 0.307

=====

(17)
Material: Ba2InPb
Method: DFT, PBEsol
State: relaxed

Values from the calculation:
DOS(E_F) in states/eV/f.u.: 3.2
DFT formation energy in meV/atom: -520
Distance to the lowest polymorph of the same formula in meV per atom: 0
Space group: Amm2

a b c (Å): 4.829 5.117 6.944
angles (deg): 111.61 90.00 90.00
Fractional coordinates of all 4 atoms:
Ba: 0.500 0.735 0.345
Ba: 0.000 0.014 0.902
Pb: 0.500 0.447 0.769
In: 0.000 0.304 0.483

=====

(18)
Material: KLi4Cr
Method: DFT, PBEsol
State: relaxed

Values from the calculation:
DOS(E_F) in states/eV/f.u.: 3.0
DFT formation energy in meV/atom: 480
Space group: F-43m

a b c (Å): 5.901 5.901 5.901
angles (deg): 60.00 60.00 60.00
Site moments in Bohr magnetons follow the coordinates.
Fractional coordinates of all 6 atoms:
K: 0.000 0.000 0.000  0.02
Li: 0.378 0.866 0.378  -0.01
Li: 0.378 0.378 0.378  -0.01
Li: 0.378 0.378 0.866  -0.01
Li: 0.866 0.378 0.378  -0.01
Cr: 0.750 0.750 0.750  4.12

=====

(19)
Material: TaCdPt
Method: DFT, PBEsol
State: relaxed

Values from the calculation:
DOS(E_F) in states/eV/f.u.: 6.4
DFT formation energy in meV/atom: -6
Space group: F-43m

a b c (Å): 4.372 4.372 4.372
angles (deg): 60.00 60.00 60.00
Site moments in Bohr magnetons follow the coordinates.
Fractional coordinates of all 3 atoms:
Cd: 0.500 0.500 0.500  0.01
Pt: 0.250 0.250 0.250  0.02
Ta: 0.000 0.000 0.000  0.08

=====

(20)
Material: AlBiN2O
Method: DFT, PBEsol
State: relaxed

Values from the calculation:
DOS(E_F) in states/eV/f.u.: 2.5
Space group: P4/mmm
Formation energy from raw total energies in meV per atom: 1071

a b c (Å): 4.100 4.247 4.247
angles (deg): 90.00 90.00 90.00
Fractional coordinates of all 5 atoms:
Bi: 0.000 0.000 0.000
Al: 0.500 0.500 0.500
N: 0.000 0.500 0.000
N: 0.000 0.000 0.500
O: 0.500 0.000 0.000

=====

(21)
Material: SnTe2Pb
Method: DFT, PBEsol
State: relaxed

Values from the calculation:
Space group: P4/mmm
Formation energy from raw total energies in meV per atom: -316

a b c (Å): 4.497 4.497 6.358
angles (deg): 90.00 90.00 90.00
Fractional coordinates of all 4 atoms:
Pb: 0.000 0.000 0.000
Te: 0.500 0.500 0.000
Te: 0.000 0.000 0.500
Sn: 0.500 0.500 0.500

=====

(22)
Material: OsBrCl2
Method: DFT, PBEsol
State: relaxed

Values from the calculation:
DOS(E_F) in states/eV/f.u.: 4.5
Distance to the lowest polymorph of the same formula in meV per atom: 1136
Space group: Cmmm
Formation energy from raw total energies in meV per atom: 1316

a b c (Å): 2.928 4.955 4.955
angles (deg): 108.45 90.00 90.00
Fractional coordinates of all 4 atoms:
Br: 0.500 0.500 0.500
Cl: 0.000 0.500 0.000
Cl: 0.000 0.000 0.500
Os: 0.500 0.000 0.000

=====

(23)
Material: Li4Fe3SbO8
Method: DFT, PBEsol
State: relaxed

Values from the calculation:
DOS(E_F) in states/eV/f.u.: 6.2
Space group: C2/m
Formation energy from raw total energies in meV per atom: -1511

a b c (Å): 5.912 5.912 5.930
angles (deg): 60.48 60.48 59.74
Site moments in Bohr magnetons follow the coordinates.
Fractional coordinates of all 16 atoms:
Li: 0.000 0.000 0.000  0.00
Li: 0.500 0.000 0.500  0.01
Li: 0.500 0.500 0.000  0.00
Li: 0.000 0.500 0.500  0.01
O: 0.762 0.762 0.738  0.13
O: 0.747 0.253 0.269  0.06
O: 0.238 0.238 0.262  0.13
O: 0.747 0.253 0.731  0.06
O: 0.264 0.264 0.746  0.19
O: 0.253 0.747 0.731  0.06
O: 0.253 0.747 0.269  0.06
O: 0.736 0.736 0.254  0.19
Sb: 0.000 0.000 0.500  -0.03
Fe: 0.500 0.000 0.000  3.66
Fe: 0.500 0.500 0.500  0.57
Fe: 0.000 0.500 0.000  3.66

=====

(24)
Material: Zn2TcCl
Method: DFT, PBEsol
State: relaxed

Values from the calculation:
DOS(E_F) in states/eV/f.u.: 2.5
Distance to the lowest polymorph of the same formula in meV per atom: 128
Space group: P4/mmm
Formation energy from raw total energies in meV per atom: 389

a b c (Å): 2.857 4.653 4.653
angles (deg): 90.00 90.00 90.00
Site moments in Bohr magnetons follow the coordinates.
Fractional coordinates of all 4 atoms:
Tc: 0.500 0.000 0.000  1.05
Cl: 0.500 0.500 0.500  0.08
Zn: 0.000 0.000 0.500  0.00
Zn: 0.000 0.500 0.000  0.00

=====

(25)
Material: TiP2HO
Method: DFT, PBEsol
State: relaxed

Values from the calculation:
DOS(E_F) in states/eV/f.u.: 1.4
Space group: P4/mmm
E_tot in eV/atom: -5.95

a b c (Å): 3.303 3.303 4.652
angles (deg): 90.00 90.00 90.00
Fractional coordinates of all 5 atoms:
P: 0.000 0.500 0.000
P: 0.500 0.000 0.000
O: 0.000 0.000 0.500
H: 0.000 0.000 0.000
Ti: 0.500 0.500 0.500